Compound: TbTm3Pb4
Source: Alexandria
Functional: PBE-GGA
Structure: optimized geometry

Calculated values
Space-group type: Pmn2_1 (31)
M_tot, μB/cell: 0.00
Energy relative to the elements, eV per atom: -0.408
Final energy, eV per cell: -72.3

Cell lengths 11.093, 6.366, 6.368 Å; angles 90.00, 90.00, 90.00 degrees
Atoms (fractional coordinates):
Tb: 0.000 0.000 0.000
Tb: 0.500 0.000 0.500
Tm: 0.000 0.500 0.500
Tm: 0.250 0.252 0.250
Tm: 0.250 0.748 0.750
Tm: 0.500 0.500 0.000
Tm: 0.750 0.252 0.250
Tm: 0.750 0.748 0.750
Pb: 0.000 0.000 0.500
Pb: 0.000 0.500 0.000
Pb: 0.250 0.249 0.750
Pb: 0.250 0.751 0.250
Pb: 0.500 0.000 0.000
Pb: 0.500 0.500 0.500
Pb: 0.750 0.249 0.750
Pb: 0.750 0.751 0.250